Entry from Alexandria via LeMat-Bulk: a relaxed Re2SbMoF crystal (PBE+U).

Unit cell a=4.486 b=4.486 c=4.140 alpha=90.00 beta=90.00 gamma=90.00
Space group P4/mmm (No. 123)
Asymmetric unit:
Re1 0.000 0.500 0.000
Sb1 0.000 0.000 0.500
Mo1 0.500 0.500 0.500
F1 0.500 0.500 0.000

* theoretical density: 12.1 Mg/m³
* raw total energy: -6.3270 eV/atom
* calculated volume: 83.3 Å³/f.u.
* DOS(E_F): 3.61 states/eV/f.u.